# 1
! GGA-PBE FeSb2Se, relaxed; values from VASP
&SYSTEM
  ibrav = 0, nat = 4, ntyp = 3
/
ATOMIC_SPECIES
Fe 55.84 Fe.upf
Sb 121.76 Sb.upf
Se 78.96 Se.upf
CELL_PARAMETERS angstrom
3.357 0.000 0.000
0.000 3.363 0.013
0.000 3.373 7.190
ATOMIC_POSITIONS angstrom
Fe 1.679 5.052 5.403
Sb 0.000 3.368 6.944
Sb 0.000 3.374 3.848
Se 1.679 1.684 1.801
! Space-group type: P2/m
! Final energy, eV/f.u.: -19.1

# 2
! GGA-PBE Fe3SbSe, relaxed; values from VASP
&SYSTEM
  ibrav = 0, nat = 5, ntyp = 3
/
ATOMIC_SPECIES
Sb 121.76 Sb.upf
Fe 55.84 Fe.upf
Se 78.96 Se.upf
CELL_PARAMETERS angstrom
-3.646 -1.846 -2.669
2.621 -4.041 -0.787
-1.912 -2.021 4.010
ATOMIC_POSITIONS angstrom
Sb 0.000 0.000 0.000
Fe 1.311 -2.021 -0.394
Fe -0.956 -1.011 2.005
Fe -1.823 -0.923 -1.334
Se -1.469 -3.954 0.277
! ΔE to the lowest computed polymorph, meV per atom: 618
! Space-group type: Pm-3m

# 3
! GGA-PBE FeSb3Se, relaxed; values from VASP
&SYSTEM
  ibrav = 0, nat = 5, ntyp = 3
/
ATOMIC_SPECIES
Sb 121.76 Sb.upf
Fe 55.84 Fe.upf
Se 78.96 Se.upf
CELL_PARAMETERS angstrom
-4.526 -1.100 -1.605
1.899 -1.619 -4.247
0.421 -4.521 1.911
ATOMIC_POSITIONS angstrom
Sb 0.950 -0.809 -2.124
Sb 0.210 -2.260 0.956
Sb -2.263 -0.550 -0.802
Fe 0.000 0.000 0.000
Se -1.103 -3.620 -1.970
! ΔE to the lowest computed polymorph, meV per atom: 189
! Space-group type: Pm-3m

# 4
! GGA-PBE Fe4Sb12Se, relaxed; values from VASP
&SYSTEM
  ibrav = 0, nat = 17, ntyp = 3
/
ATOMIC_SPECIES
Fe 55.84 Fe.upf
Sb 121.76 Sb.upf
Se 78.96 Se.upf
CELL_PARAMETERS angstrom
7.521 0.000 -2.659
-3.760 6.513 -2.659
0.000 0.000 7.977
ATOMIC_POSITIONS angstrom
Fe -1.880 3.256 -1.329
Fe 3.760 0.000 -1.329
Fe 1.880 3.256 1.329
Fe 0.000 0.000 3.988
Sb 5.110 2.106 -1.784
Sb 0.619 3.141 -0.875
Sb 5.686 1.035 2.753
Sb 1.813 1.072 5.412
Sb -1.925 5.478 -0.094
Sb 3.141 3.372 3.534
Sb 3.030 1.035 0.875
Sb 0.731 5.478 1.784
Sb 1.947 5.441 -2.753
Sb 3.782 4.407 0.094
Sb -0.022 2.106 2.565
Sb -1.349 4.407 4.443
Se 3.760 6.513 2.659
! Space-group type: Im-3
! Final energy, eV/f.u.: -86.4

# 5
! GGA-PBE FeSb2Se, relaxed; values from VASP
&SYSTEM
  ibrav = 0, nat = 4, ntyp = 3
/
ATOMIC_SPECIES
Fe 55.84 Fe.upf
Sb 121.76 Sb.upf
Se 78.96 Se.upf
CELL_PARAMETERS angstrom
8.878 -0.004 -0.002
8.204 3.393 -0.002
8.204 1.627 2.977
ATOMIC_POSITIONS angstrom
Fe 19.050 3.779 2.239
Sb 0.483 0.096 0.057
Sb 6.470 1.283 0.760
Se 11.928 2.366 1.402
! Space-group type: R3m
! Final energy, eV/f.u.: -20.0

# 6
! GGA-PBE FeSbSe4, relaxed; values from VASP
&SYSTEM
  ibrav = 0, nat = 6, ntyp = 3
/
ATOMIC_SPECIES
Fe 55.84 Fe.upf
Sb 121.76 Sb.upf
Se 78.96 Se.upf
CELL_PARAMETERS angstrom
-4.155 -3.616 1.490
-3.390 1.217 4.425
-5.459 1.404 -0.890
ATOMIC_POSITIONS angstrom
Fe -9.753 -0.746 3.769
Sb 0.000 0.000 0.000
Se -6.948 -2.159 2.628
Se -7.592 0.318 1.454
Se -6.571 0.226 4.077
Se -4.898 -0.375 1.893
! Space-group type: F-43m
! Final energy, eV/f.u.: -21.5

# 7
! GGA-PBE FeSb2Se, relaxed; values from VASP
&SYSTEM
  ibrav = 0, nat = 4, ntyp = 3
/
ATOMIC_SPECIES
Fe 55.84 Fe.upf
Sb 121.76 Sb.upf
Se 78.96 Se.upf
CELL_PARAMETERS angstrom
-4.946 -0.056 -0.554
0.423 -3.487 -3.526
2.015 -0.737 4.490
ATOMIC_POSITIONS angstrom
Fe -2.596 -1.282 0.949
Sb 0.000 0.000 0.000
Sb 0.089 -2.997 -0.538
Se -2.261 -1.771 -2.040
! Space-group type: I-4m2
! Final energy, eV/f.u.: -18.2

# 8
! GGA-PBE FeSb3Se, relaxed; values from VASP
&SYSTEM
  ibrav = 0, nat = 10, ntyp = 3
/
ATOMIC_SPECIES
Fe 55.84 Fe.upf
Sb 121.76 Sb.upf
Se 78.96 Se.upf
CELL_PARAMETERS angstrom
5.156 -0.660 0.018
-0.620 4.574 -0.078
0.077 0.208 11.507
ATOMIC_POSITIONS angstrom
Fe 0.645 2.912 2.842
Fe 3.967 1.210 8.605
Sb 3.364 1.050 6.025
Sb 1.248 3.072 5.422
Sb 3.401 1.145 11.198
Sb 1.211 2.976 0.249
Sb 3.122 2.551 2.835
Sb 1.491 1.570 8.612
Se 0.467 0.562 2.893
Se 4.146 3.559 8.554
! ΔE to the lowest computed polymorph, meV per atom: 0
! Space-group type: P-1

# 9
! GGA-PBE FeSb4Se, relaxed; values from VASP
&SYSTEM
  ibrav = 0, nat = 6, ntyp = 3
/
ATOMIC_SPECIES
Fe 55.84 Fe.upf
Sb 121.76 Sb.upf
Se 78.96 Se.upf
CELL_PARAMETERS angstrom
0.000 4.332 4.332
4.332 0.000 4.332
4.332 4.332 0.000
ATOMIC_POSITIONS angstrom
Fe 0.000 0.000 0.000
Sb 3.252 5.412 5.412
Sb 5.412 5.412 3.252
Sb 5.412 3.252 5.412
Sb 3.252 3.252 3.252
Se 6.498 6.498 6.498
! Space-group type: F-43m
! Final energy, eV/f.u.: -23.8

# 10
! GGA-PBE FeSb2Se, relaxed; values from VASP
&SYSTEM
  ibrav = 0, nat = 4, ntyp = 3
/
ATOMIC_SPECIES
Fe 55.84 Fe.upf
Sb 121.76 Sb.upf
Se 78.96 Se.upf
CELL_PARAMETERS angstrom
-5.462 1.079 -1.804
-2.534 -0.212 5.271
-0.941 2.852 0.910
ATOMIC_POSITIONS angstrom
Fe -1.737 1.320 3.090
Sb 0.000 0.000 0.000
Sb -3.998 0.433 1.733
Se -3.201 1.965 -0.447
! Space-group type: C2/m
! Final energy, eV/f.u.: -18.8

# 11
! GGA-PBE FeSb2Se, relaxed; values from VASP
&SYSTEM
  ibrav = 0, nat = 4, ntyp = 3
/
ATOMIC_SPECIES
Fe 55.84 Fe.upf
Sb 121.76 Sb.upf
Se 78.96 Se.upf
CELL_PARAMETERS angstrom
-0.520 3.116 -2.039
-4.936 0.344 1.784
-1.360 2.622 4.353
ATOMIC_POSITIONS angstrom
Fe -4.957 3.771 3.559
Sb -5.874 2.767 5.725
Sb -1.786 2.276 0.468
Se -3.643 1.716 3.551
! Space-group type: Amm2
! Final energy, eV/f.u.: -20.1

# 12
! GGA-PBE FeSb2Se, relaxed; values from VASP
&SYSTEM
  ibrav = 0, nat = 8, ntyp = 3
/
ATOMIC_SPECIES
Sb 121.76 Sb.upf
Fe 55.84 Fe.upf
Se 78.96 Se.upf
CELL_PARAMETERS angstrom
6.134 0.000 0.000
0.000 6.134 0.000
3.067 3.067 5.849
ATOMIC_POSITIONS angstrom
Sb 4.203 1.533 1.462
Sb 1.931 4.600 1.462
Sb 4.600 4.998 4.387
Sb 7.667 7.270 4.387
Fe 3.067 3.067 0.000
Fe 3.067 6.134 2.925
Se 0.000 0.000 0.000
Se 6.134 3.067 2.925
! Space-group type: I-42d
! Final energy, eV/f.u.: -19.0

What did the eighth record say?
! GGA-PBE FeSb3Se, relaxed; values from VASP
&SYSTEM
  ibrav = 0, nat = 10, ntyp = 3
/
ATOMIC_SPECIES
Fe 55.84 Fe.upf
Sb 121.76 Sb.upf
Se 78.96 Se.upf
CELL_PARAMETERS angstrom
5.156 -0.660 0.018
-0.620 4.574 -0.078
0.077 0.208 11.507
ATOMIC_POSITIONS angstrom
Fe 0.645 2.912 2.842
Fe 3.967 1.210 8.605
Sb 3.364 1.050 6.025
Sb 1.248 3.072 5.422
Sb 3.401 1.145 11.198
Sb 1.211 2.976 0.249
Sb 3.122 2.551 2.835
Sb 1.491 1.570 8.612
Se 0.467 0.562 2.893
Se 4.146 3.559 8.554
! ΔE to the lowest computed polymorph, meV per atom: 0
! Space-group type: P-1